DFT (GGA-PBE) results for a relaxed Na6TlI8 crystal.

Properties
As for the total energy: -154.72 eV per cell. The magnetic moment is 0.000 μB per atom.

Lattice parameters (Å, degrees): 13.0501 13.0501 13.0501 90.00 90.00 90.00
Last column: nearest neighbours and their distance in Å.
Space group Fm-3m (No. 225)
Unique sites:
Na 0.0000 0.2500 0.2500  6 I 3.26
Tl 0.0000 0.0000 0.0000  6 I 3.26
I 0.0000 0.0000 0.2496  1 Tl 3.26, 4 Na 3.26
I 0.2500 0.2500 0.2500  6 Na 3.26